# TbGaNi, single point on PBEsol structure, DFT meta-GGA SCAN
data_TbGaNi
_chemical_formula_sum 'Tb4 Ga4 Ni4'
_symmetry_space_group_name_H-M 'P 1'
_symmetry_Int_Tables_number 1
_cell_length_a 6.733
_cell_length_b 4.230
_cell_length_c 7.267
_cell_angle_alpha 90.00
_cell_angle_beta 90.00
_cell_angle_gamma 90.00
loop_
_symmetry_equiv_pos_as_xyz
'x,y,z'
loop_
_atom_site_label
_atom_site_type_symbol
_atom_site_fract_x
_atom_site_fract_y
_atom_site_fract_z
Tb1 Tb 0.023 0.250 0.191
Tb2 Tb 0.477 0.750 0.691
Tb3 Tb 0.523 0.250 0.309
Tb4 Tb 0.977 0.750 0.809
Ga1 Ga 0.167 0.250 0.575
Ga2 Ga 0.333 0.750 0.075
Ga3 Ga 0.667 0.250 0.925
Ga4 Ga 0.833 0.750 0.425
Ni1 Ni 0.214 0.750 0.400
Ni2 Ni 0.286 0.250 0.900
Ni3 Ni 0.714 0.750 0.100
Ni4 Ni 0.786 0.250 0.600
# **Calculated formation energy**: -0.7079 eV/atom
# **Symmetry**: Pnma

# CdTe2AuN, single point on PBEsol structure, DFT meta-GGA SCAN
data_CdTe2AuN
_chemical_formula_sum 'Cd1 Te2 Au1 N1'
_symmetry_space_group_name_H-M 'P 1'
_symmetry_Int_Tables_number 1
_cell_length_a 5.708
_cell_length_b 5.708
_cell_length_c 3.689
_cell_angle_alpha 90.00
_cell_angle_beta 90.00
_cell_angle_gamma 90.00
loop_
_symmetry_equiv_pos_as_xyz
'x,y,z'
loop_
_atom_site_label
_atom_site_type_symbol
_atom_site_fract_x
_atom_site_fract_y
_atom_site_fract_z
Cd1 Cd 0.000 0.000 0.000
Te1 Te 0.000 0.500 0.500
Te2 Te 0.500 0.000 0.500
Au1 Au 0.500 0.500 0.500
N1 N 0.500 0.500 0.000
# **Symmetry**: P4/mmm
# **Calculated total energy**: -35.90 eV/atom

# K4In2Si8O21, single point on PBEsol structure, DFT meta-GGA SCAN
data_K4In2Si8O21
_chemical_formula_sum 'K8 In4 Si16 O42'
_symmetry_space_group_name_H-M 'P 1'
_symmetry_Int_Tables_number 1
_cell_length_a 8.422
_cell_length_b 11.563
_cell_length_c 13.464
_cell_angle_alpha 90.00
_cell_angle_beta 128.47
_cell_angle_gamma 90.00
loop_
_symmetry_equiv_pos_as_xyz
'x,y,z'
loop_
_atom_site_label
_atom_site_type_symbol
_atom_site_fract_x
_atom_site_fract_y
_atom_site_fract_z
K1 K 0.199 0.032 0.192
K2 K 0.199 0.468 0.692
K3 K 0.220 0.645 0.207
K4 K 0.220 0.855 0.707
K5 K 0.780 0.145 0.293
K6 K 0.780 0.355 0.793
K7 K 0.801 0.532 0.308
K8 K 0.801 0.968 0.808
In1 In 0.260 0.167 0.960
In2 In 0.260 0.333 0.460
In3 In 0.740 0.667 0.540
In4 In 0.740 0.833 0.040
Si1 Si 0.023 0.663 0.834
Si2 Si 0.023 0.837 0.334
Si3 Si 0.293 0.631 0.502
Si4 Si 0.293 0.869 0.002
Si5 Si 0.312 0.042 0.496
Si6 Si 0.312 0.458 0.996
Si7 Si 0.387 0.174 0.713
Si8 Si 0.387 0.326 0.213
Si9 Si 0.613 0.674 0.787
Si10 Si 0.613 0.826 0.287
Si11 Si 0.688 0.542 0.004
Si12 Si 0.688 0.958 0.504
Si13 Si 0.707 0.131 0.998
Si14 Si 0.707 0.369 0.498
Si15 Si 0.977 0.163 0.666
Si16 Si 0.977 0.337 0.166
O1 O 0.038 0.652 0.721
O2 O 0.038 0.848 0.221
O3 O 0.087 0.711 0.405
O4 O 0.087 0.789 0.905
O5 O 0.153 0.565 0.946
O6 O 0.153 0.935 0.446
O7 O 0.201 0.154 0.409
O8 O 0.201 0.346 0.909
O9 O 0.212 0.503 0.492
O10 O 0.212 0.997 0.992
O11 O 0.218 0.140 0.732
O12 O 0.218 0.360 0.232
O13 O 0.341 0.208 0.139
O14 O 0.341 0.292 0.639
O15 O 0.394 0.683 0.645
O16 O 0.394 0.817 0.145
O17 O 0.404 0.061 0.645
O18 O 0.404 0.439 0.145
O19 O 0.439 0.649 0.464
O20 O 0.439 0.851 0.964
O21 O 0.500 0.000 0.500
O22 O 0.500 0.500 0.000
O23 O 0.561 0.149 0.036
O24 O 0.561 0.351 0.536
O25 O 0.596 0.561 0.855
O26 O 0.596 0.939 0.355
O27 O 0.606 0.183 0.855
O28 O 0.606 0.317 0.355
O29 O 0.659 0.708 0.361
O30 O 0.659 0.792 0.861
O31 O 0.782 0.640 0.768
O32 O 0.782 0.860 0.268
O33 O 0.788 0.003 0.008
O34 O 0.788 0.497 0.508
O35 O 0.799 0.654 0.091
O36 O 0.799 0.846 0.591
O37 O 0.847 0.065 0.554
O38 O 0.847 0.435 0.054
O39 O 0.913 0.211 0.095
O40 O 0.913 0.289 0.595
O41 O 0.962 0.152 0.779
O42 O 0.962 0.348 0.279
# **Symmetry**: P2_1/c
# **Calculated total energy**: -11.64 eV/atom

# CsOs3Se, single point on PBEsol structure, DFT meta-GGA SCAN
data_CsOs3Se
_chemical_formula_sum 'Cs1 Os3 Se1'
_symmetry_space_group_name_H-M 'P 1'
_symmetry_Int_Tables_number 1
_cell_length_a 4.914
_cell_length_b 4.914
_cell_length_c 4.914
_cell_angle_alpha 90.00
_cell_angle_beta 90.00
_cell_angle_gamma 90.00
loop_
_symmetry_equiv_pos_as_xyz
'x,y,z'
loop_
_atom_site_label
_atom_site_type_symbol
_atom_site_fract_x
_atom_site_fract_y
_atom_site_fract_z
Cs1 Cs 0.000 0.000 0.000
Os1 Os 0.000 0.000 0.500
Os2 Os 0.000 0.500 0.000
Os3 Os 0.500 0.000 0.000
Se1 Se 0.500 0.500 0.500
# **Symmetry**: Pm-3m
# **Calculated total energy**: -50.39 eV/atom

# MnFeSn4, single point on PBEsol structure, DFT meta-GGA SCAN
data_MnFeSn4
_chemical_formula_sum 'Mn2 Fe2 Sn8'
_symmetry_space_group_name_H-M 'P 1'
_symmetry_Int_Tables_number 1
_cell_length_a 6.455
_cell_length_b 6.455
_cell_length_c 5.272
_cell_angle_alpha 90.00
_cell_angle_beta 90.00
_cell_angle_gamma 90.00
loop_
_symmetry_equiv_pos_as_xyz
'x,y,z'
loop_
_atom_site_label
_atom_site_type_symbol
_atom_site_fract_x
_atom_site_fract_y
_atom_site_fract_z
Mn1 Mn 0.000 0.000 0.000
Mn2 Mn 0.500 0.500 0.500
Fe1 Fe 0.000 0.000 0.500
Fe2 Fe 0.500 0.500 0.000
Sn1 Sn 0.163 0.337 0.250
Sn2 Sn 0.163 0.663 0.750
Sn3 Sn 0.337 0.163 0.750
Sn4 Sn 0.337 0.837 0.250
Sn5 Sn 0.663 0.163 0.250
Sn6 Sn 0.663 0.837 0.750
Sn7 Sn 0.837 0.337 0.750
Sn8 Sn 0.837 0.663 0.250
# **Calculated formation energy**: 0.0521 eV/atom
# **Symmetry**: I422

# CaScSi2, single point on PBEsol structure, DFT meta-GGA SCAN
data_CaScSi2
_chemical_formula_sum 'Ca1 Sc1 Si2'
_symmetry_space_group_name_H-M 'P 1'
_symmetry_Int_Tables_number 1
_cell_length_a 3.291
_cell_length_b 3.291
_cell_length_c 7.680
_cell_angle_alpha 90.00
_cell_angle_beta 90.00
_cell_angle_gamma 90.00
loop_
_symmetry_equiv_pos_as_xyz
'x,y,z'
loop_
_atom_site_label
_atom_site_type_symbol
_atom_site_fract_x
_atom_site_fract_y
_atom_site_fract_z
Ca1 Ca 0.000 0.000 0.000
Sc1 Sc 0.500 0.500 0.376
Si1 Si 0.000 0.000 0.598
Si2 Si 0.500 0.500 0.732
# **Symmetry**: P4mm
# **Calculated total energy**: -11.09 eV/atom

# RbYP2O7, single point on PBEsol structure, DFT meta-GGA SCAN
data_RbYP2O7
_chemical_formula_sum 'Rb4 Y4 P8 O28'
_symmetry_space_group_name_H-M 'P 1'
_symmetry_Int_Tables_number 1
_cell_length_a 7.733
_cell_length_b 10.973
_cell_length_c 8.703
_cell_angle_alpha 90.00
_cell_angle_beta 106.08
_cell_angle_gamma 90.00
loop_
_symmetry_equiv_pos_as_xyz
'x,y,z'
loop_
_atom_site_label
_atom_site_type_symbol
_atom_site_fract_x
_atom_site_fract_y
_atom_site_fract_z
Rb1 Rb 0.183 0.177 0.065
Rb2 Rb 0.183 0.323 0.565
Rb3 Rb 0.817 0.677 0.435
Rb4 Rb 0.817 0.823 0.935
Y1 Y 0.234 0.597 0.252
Y2 Y 0.234 0.903 0.752
Y3 Y 0.766 0.097 0.248
Y4 Y 0.766 0.403 0.748
P1 P 0.129 0.602 0.815
P2 P 0.129 0.898 0.315
P3 P 0.436 0.638 0.688
P4 P 0.436 0.862 0.188
P5 P 0.564 0.138 0.812
P6 P 0.564 0.362 0.312
P7 P 0.871 0.102 0.685
P8 P 0.871 0.398 0.185
O1 O 0.007 0.503 0.716
O2 O 0.007 0.997 0.216
O3 O 0.075 0.729 0.746
O4 O 0.075 0.771 0.246
O5 O 0.139 0.594 0.991
O6 O 0.139 0.906 0.491
O7 O 0.329 0.611 0.517
O8 O 0.329 0.889 0.017
O9 O 0.330 0.571 0.802
O10 O 0.330 0.929 0.302
O11 O 0.378 0.079 0.765
O12 O 0.378 0.421 0.265
O13 O 0.450 0.727 0.232
O14 O 0.450 0.773 0.732
O15 O 0.550 0.227 0.268
O16 O 0.550 0.273 0.768
O17 O 0.622 0.579 0.735
O18 O 0.622 0.921 0.235
O19 O 0.670 0.071 0.698
O20 O 0.670 0.429 0.198
O21 O 0.671 0.111 0.983
O22 O 0.671 0.389 0.483
O23 O 0.861 0.094 0.509
O24 O 0.861 0.406 0.009
O25 O 0.925 0.229 0.754
O26 O 0.925 0.271 0.254
O27 O 0.993 0.003 0.784
O28 O 0.993 0.497 0.284
# **Symmetry**: P2_1/c
# **Calculated total energy**: -13.25 eV/atom

# Al3TlCu, single point on PBEsol structure, DFT meta-GGA SCAN
data_Al3TlCu
_chemical_formula_sum 'Al3 Tl1 Cu1'
_symmetry_space_group_name_H-M 'P 1'
_symmetry_Int_Tables_number 1
_cell_length_a 5.155
_cell_length_b 5.155
_cell_length_c 5.155
_cell_angle_alpha 90.00
_cell_angle_beta 90.00
_cell_angle_gamma 90.00
loop_
_symmetry_equiv_pos_as_xyz
'x,y,z'
loop_
_atom_site_label
_atom_site_type_symbol
_atom_site_fract_x
_atom_site_fract_y
_atom_site_fract_z
Al1 Al 0.000 0.000 0.500
Al2 Al 0.000 0.500 0.000
Al3 Al 0.500 0.000 0.000
Tl1 Tl 0.000 0.000 0.000
Cu1 Cu 0.500 0.500 0.500
# **Calculated formation energy**: 1.2581 eV/atom
# **Symmetry**: Pm-3m

# YMgNi2, single point on PBEsol structure, DFT meta-GGA SCAN
data_YMgNi2
_chemical_formula_sum 'Y1 Mg1 Ni2'
_symmetry_space_group_name_H-M 'P 1'
_symmetry_Int_Tables_number 1
_cell_length_a 3.158
_cell_length_b 3.158
_cell_length_c 6.893
_cell_angle_alpha 90.00
_cell_angle_beta 90.00
_cell_angle_gamma 90.00
loop_
_symmetry_equiv_pos_as_xyz
'x,y,z'
loop_
_atom_site_label
_atom_site_type_symbol
_atom_site_fract_x
_atom_site_fract_y
_atom_site_fract_z
Y1 Y 0.000 0.000 0.000
Mg1 Mg 0.500 0.500 0.386
Ni1 Ni 0.000 0.000 0.611
Ni2 Ni 0.500 0.500 0.759
# **Calculated formation energy**: -0.0235 eV/atom
# **Symmetry**: P4mm

Number 1: mass density 9222 kg/m³, V 207.0 Å³ per cell. Number 2: mass density 7993 kg/m³, V 120.2 Å³ per cell. Number 3: mass density 3063 kg/m³, V 1026.6 Å³ per cell. Number 4: mass density 10949 kg/m³, V 118.7 Å³ per cell. Number 5: mass density 8854 kg/m³, V 219.7 Å³ per cell. Number 6: mass density 2819 kg/m³, V 83.2 Å³ per cell. Number 7: mass density 3260 kg/m³, V 709.6 Å³ per cell. Number 8: mass density 4228 kg/m³, V 137.0 Å³ per cell. Number 9: mass density 5568 kg/m³, V 68.8 Å³ per cell.